Density functional theory data (GGA-PBE) for an optimized crystal structure of KZr2Re.

Output
Its energy of formation is 0.579 eV per atom. The value obtained for the magnetic moment is 0.00 μB/f.u. For the density of states at the Fermi level, the calculation gives 4.45 states/eV/f.u. As for the energy relative to the lowest polymorph listed for this composition: 0.3845 eV per atom.

a b c (Å): 4.3738 3.1972 8.6115
angles (deg): 75.67 90.00 90.00
Atoms (fractional coordinates):
Re (0.5000, 0.6466, 0.8700)
K (0.0000, 0.5383, 0.5270)
Zr (0.0000, 0.0494, 0.9427)
Zr (0.5000, 0.2657, 0.1603)